Record 1
Below is a relaxed structure of ErTm5Sc2, with properties calculated at the PBE level.

Cell lengths 8.144, 7.004, 6.470 Å; angles 74.26, 55.87, 49.87 degrees
Sites, in units of the cell vectors:
Er1 0.000 0.000 0.000
Tm1 0.416 0.416 0.084
Tm2 0.497 0.997 0.503
Tm3 0.500 0.500 0.500
Tm4 0.916 0.916 0.584
Tm5 0.997 0.497 0.003
Sc1 0.415 0.914 0.086
Sc2 0.914 0.415 0.585

Output
Energy relative to the elements, eV per atom: 0.014
Space-group type: Fmm2 (42)

---

Record 2
Below is a relaxed structure of LiAsBr3, with properties calculated at the PBE level.

Cell lengths 5.419, 5.419, 5.419 Å; angles 90.00, 90.00, 90.00 degrees
Sites, in units of the cell vectors:
Li1 0.000 0.000 0.000
As1 0.500 0.500 0.500
Br1 0.000 0.500 0.500
Br2 0.500 0.000 0.500
Br3 0.500 0.500 0.000

Output
Energy relative to the elements, uncorrected, eV/atom: -0.4556
Space-group type: Pm-3m (221)
Offset from the most stable computed form, kJ per mole of atoms: 0.00

---

Record 3
Below is a relaxed structure of Nd2SmThN4, with properties calculated at the PBE level.

Cell lengths 6.291, 3.646, 6.301 Å; angles 90.00, 109.35, 90.00 degrees
Sites, in units of the cell vectors:
Nd1 0.000 0.000 0.000
Nd2 0.500 0.500 0.000
Sm1 0.000 0.500 0.500
Th1 0.500 0.000 0.500
N1 0.253 0.000 0.741
N2 0.258 0.500 0.261
N3 0.742 0.500 0.739
N4 0.747 0.000 0.259

Output
Energy relative to the elements, uncorrected, eV/atom: -1.4941
Space-group type: P2/m (10)

---

What is the formula in the third record? Nd2SmThN4

---

Number 3 is which compound? Nd2SmThN4

---

Number 3 is which compound? Nd2SmThN4